[1]
A plane-wave DFT calculation with PBE-GGA was carried out for YSbAu2 after structural relaxation.

Cell: 7.1079 7.1079 7.1079 Å, 90.00 90.00 90.00°
With the nearest neighbours (Å) after each atom.
Space group F-43m (No. 216)
Unique sites:
1 Y 0.0000 0.0000 0.0000 (multiplicity 4)  4 Sb 3.08, 4 Au 3.08
2 Sb 0.2500 0.2500 0.7500 (multiplicity 4)  4 Y 3.08, 4 Au 3.08
3 Au 0.0000 0.0000 0.5000 (multiplicity 4)  4 Sb 3.08, 4 Au 3.08
4 Au 0.2500 0.2500 0.2500 (multiplicity 4)  4 Y 3.08, 4 Au 3.08

Calculated density = 11.2 Mg/m³
VASP energy = -4.79 eV per atom

[2]
A plane-wave DFT calculation with PBE-GGA was carried out for YSbAu2 after structural relaxation.

Cell: 3.6916 3.6916 6.6823 Å, 90.00 90.00 90.00°
With the nearest neighbours (Å) after each atom.
Space group P4mm (No. 99)
Unique sites:
1 Y 0.0000 0.0000 0.0000 (multiplicity 1)  5 Au 3.04-3.08, 4 Sb 3.34
2 Sb 0.5000 0.5000 0.6886 (multiplicity 1)  5 Au 3.02-3.05, 4 Y 3.34
3 Au 0.0000 0.0000 0.4613 (multiplicity 1)  4 Sb 3.02, 4 Au 3.03, 1 Y 3.08
4 Au 0.5000 0.5000 0.2320 (multiplicity 1)  4 Au 3.03, 4 Y 3.04, 1 Sb 3.05

Calculated density = 11.0 Mg/m³
VASP energy = -4.73 eV per atom

[3]
A plane-wave DFT calculation with PBE-GGA was carried out for Y3SbAu after structural relaxation.

Cell: 5.4789 5.4789 5.4789 Å, 90.00 90.00 90.00°
With the nearest neighbours (Å) after each atom.
Space group Pm-3m (No. 221)
Unique sites:
1 Y 0.0000 0.0000 0.5000 (multiplicity 3)  2 Au 2.74
2 Sb 0.5000 0.5000 0.5000 (multiplicity 1)  12 Y 3.87
3 Au 0.0000 0.0000 0.0000 (multiplicity 1)  6 Y 2.74

Calculated density = 5.9 Mg/m³
Distance to the lowest polymorph of the same formula = 0 meV per atom
VASP energy = -5.71 eV per atom

[4]
A plane-wave DFT calculation with PBE-GGA was carried out for YSbAu2 after structural relaxation.

Cell: 3.7633 3.9424 6.1485 Å, 90.00 90.00 90.00°
With the nearest neighbours (Å) after each atom.
Space group Pmmm (No. 47)
Unique sites:
1 Y 0.0000 0.0000 0.0000 (multiplicity 1)  2 Sb 3.07, 8 Au 3.11
2 Sb 0.0000 0.0000 0.5000 (multiplicity 1)  2 Y 3.07, 8 Au 3.15
3 Au 0.5000 0.5000 0.2429 (multiplicity 2)  2 Au 2.99-3.16, 4 Y 3.11, 4 Sb 3.15

Calculated density = 11.0 Mg/m³
VASP energy = -4.86 eV per atom